# 1
Here is a geometry-optimized ZnTc3 structure from the Alexandria database. Energies are from GGA-PBE.

Cell: 3.8598 3.8598 3.8598 Å, 90.00 90.00 90.00°
Closest atoms and distances in Å follow each position.
Space group Pm-3m (No. 221)
Asymmetric unit:
Zn (0.0000, 0.0000, 0.0000) (multiplicity 1)  12 Tc 2.73
Tc (0.0000, 0.5000, 0.5000) (multiplicity 3)  8 Tc 2.73, 4 Zn 2.73

Values from the calculation:
* uncorrected energy: -7.851 eV/atom
* crystal system: cubic
* magnetization: 0.0 μB/f.u.

# 2
Here is a geometry-optimized Zn4Tc structure from the Alexandria database. Energies are from GGA-PBE.

Cell: 4.9029 4.9029 4.9029 Å, 90.00 90.00 90.00°
Closest atoms and distances in Å follow each position.
Space group Pm-3m (No. 221)
Asymmetric unit:
Zn (0.0000, 0.0000, 0.0000) (multiplicity 1)  12 Zn 3.47
Zn (0.0000, 0.5000, 0.5000) (multiplicity 3)  2 Tc 2.45
Tc (0.5000, 0.5000, 0.5000) (multiplicity 1)  6 Zn 2.45

Values from the calculation:
* uncorrected energy: -2.220 eV/atom
* crystal system: cubic
* magnetization: 2.0 μB/f.u.

# 3
Here is a geometry-optimized ZnTc2 structure from the Alexandria database. Energies are from GGA-PBE.

Cell: 2.7237 2.7237 24.2086 Å, 90.00 90.00 90.00°
Closest atoms and distances in Å follow each position.
Space group I4_1/amd (No. 141, origin choice 2)
Asymmetric unit:
Zn (0.0000, 0.2500, 0.3750) (multiplicity 4)  4 Zn 2.72, 8 Tc 2.77
Tc (0.0000, 0.2500, 0.7929) (multiplicity 8)  6 Tc 2.49-2.72, 4 Zn 2.77

Values from the calculation:
* uncorrected energy: -7.007 eV/atom
* crystal system: tetragonal
* magnetization: 0.0 μB/f.u.

# 4
Here is a geometry-optimized Zn3Tc structure from the Alexandria database. Energies are from GGA-PBE.

Cell: 2.7615 2.7615 26.6692 Å, 90.00 90.00 120.00°
Closest atoms and distances in Å follow each position.
Space group R-3m (No. 166, hexagonal axes)
Asymmetric unit:
Zn (0.0000, 0.0000, 0.0000) (multiplicity 3)  12 Zn 2.75-2.76
Zn (0.0000, 0.0000, 0.2492) (multiplicity 6)  3 Tc 2.72, 9 Zn 2.75-2.76
Tc (0.0000, 0.0000, 0.5000) (multiplicity 3)  6 Zn 2.72, 6 Tc 2.76

Values from the calculation:
* uncorrected energy: -3.457 eV/atom
* crystal system: trigonal
* magnetization: 0.0 μB/f.u.

# 5
Here is a geometry-optimized ZnTc3 structure from the Alexandria database. Energies are from GGA-PBE.

Cell: 9.2839 2.8167 4.5880 Å, 90.00 104.04 90.00°
Closest atoms and distances in Å follow each position.
Space group C2/m (No. 12)
Asymmetric unit:
Zn (0.0000, 0.0000, 0.0000) (multiplicity 2)  10 Tc 2.69-2.80, 2 Zn 2.82
Tc (0.0000, 0.5000, 0.5000) (multiplicity 2)  8 Tc 2.65-2.86, 4 Zn 2.69
Tc (0.2420, 0.0000, 0.7370) (multiplicity 4)  9 Tc 2.62-2.86, 3 Zn 2.79-2.80

Values from the calculation:
* uncorrected energy: -7.951 eV/atom
* crystal system: monoclinic
* magnetization: 0.0 μB/f.u.

# 6
Here is a geometry-optimized ZnTc3 structure from the Alexandria database. Energies are from GGA-PBE.

Cell: 3.7651 3.7651 8.1160 Å, 90.00 90.00 90.00°
Closest atoms and distances in Å follow each position.
Space group I4/mmm (No. 139)
Asymmetric unit:
Zn (0.0000, 0.0000, 0.0000) (multiplicity 2)  12 Tc 2.66-2.77
Tc (0.0000, 0.0000, 0.5000) (multiplicity 2)  4 Zn 2.66, 8 Tc 2.77
Tc (0.0000, 0.5000, 0.2500) (multiplicity 4)  8 Tc 2.66-2.77, 4 Zn 2.77

Values from the calculation:
* uncorrected energy: -7.931 eV/atom
* crystal system: tetragonal
* magnetization: 0.0 μB/f.u.

# 7
Here is a geometry-optimized Zn4Tc3 structure from the Alexandria database. Energies are from GGA-PBE.

Cell: 2.9458 2.9458 23.4053 Å, 90.00 90.00 90.00°
Closest atoms and distances in Å follow each position.
Space group I4/mmm (No. 139)
Asymmetric unit:
Zn (0.0000, 0.0000, 0.0726) (multiplicity 4)  8 Zn 2.66-2.95, 4 Tc 2.69
Zn (0.0000, 0.0000, 0.3569) (multiplicity 4)  8 Zn 2.66-2.95, 4 Tc 2.73
Tc (0.0000, 0.0000, 0.2183) (multiplicity 4)  4 Tc 2.56, 4 Zn 2.73
Tc (0.0000, 0.0000, 0.5000) (multiplicity 2)  8 Zn 2.69, 4 Tc 2.95

Values from the calculation:
* uncorrected energy: -5.117 eV/atom
* crystal system: tetragonal
* magnetization: 0.9 μB/f.u.

# 8
Here is a geometry-optimized Zn3Tc structure from the Alexandria database. Energies are from GGA-PBE.

Cell: 5.4214 5.4214 8.9196 Å, 90.00 90.00 120.00°
Closest atoms and distances in Å follow each position.
Space group P6_3/mmc (No. 194)
Asymmetric unit:
Zn (0.0000, 0.5000, 0.0000) (multiplicity 6)  4 Tc 2.71-2.72, 8 Zn 2.71-2.73
Zn (0.1645, 0.3290, 0.2500) (multiplicity 6)  8 Zn 2.68-2.75, 4 Tc 2.71
Tc (0.0000, 0.0000, 0.0000) (multiplicity 2)  12 Zn 2.71
Tc (0.3333, 0.6667, 0.7500) (multiplicity 2)  12 Zn 2.71-2.72

Values from the calculation:
* uncorrected energy: -3.566 eV/atom
* crystal system: hexagonal
* magnetization: 0.9 μB/f.u.

# 9
Here is a geometry-optimized Zn3Tc2 structure from the Alexandria database. Energies are from GGA-PBE.

Cell: 9.4805 13.6455 4.5071 Å, 90.00 90.00 90.00°
Closest atoms and distances in Å follow each position.
Space group Fdd2 (No. 43)
Asymmetric unit:
Zn (0.0000, 0.0000, 0.0000) (multiplicity 8)  4 Zn 2.59-2.63, 6 Tc 2.65-2.86
Zn (0.0195, 0.0956, 0.4949) (multiplicity 16)  5 Zn 2.59-2.74, 5 Tc 2.67-2.79
Tc (0.0086, 0.2090, 0.9808) (multiplicity 16)  2 Tc 2.52, 7 Zn 2.65-2.79

Values from the calculation:
* uncorrected energy: -4.774 eV/atom
* crystal system: orthorhombic
* magnetization: 0.0 μB/f.u.

# 10
Here is a geometry-optimized Zn3Tc structure from the Alexandria database. Energies are from GGA-PBE.

Cell: 2.6796 8.8911 4.8245 Å, 90.00 90.00 90.00°
Closest atoms and distances in Å follow each position.
Space group Imm2 (No. 44)
Asymmetric unit:
Zn (0.0000, 0.0000, 0.0000) (multiplicity 2)  8 Zn 2.68-2.75, 4 Tc 2.73-2.79
Zn (0.0000, 0.2474, 0.3204) (multiplicity 4)  9 Zn 2.68-2.76, 3 Tc 2.71-2.73
Tc (0.0000, 0.5000, 0.0075) (multiplicity 2)  2 Tc 2.68, 10 Zn 2.71-2.79

Values from the calculation:
* uncorrected energy: -3.545 eV/atom
* crystal system: orthorhombic
* magnetization: 0.0 μB/f.u.

# 11
Here is a geometry-optimized ZnTc2 structure from the Alexandria database. Energies are from GGA-PBE.

Cell: 2.7655 2.7655 6.6301 Å, 90.00 90.00 120.00°
Closest atoms and distances in Å follow each position.
Space group P-3m1 (No. 164)
Asymmetric unit:
Zn (0.0000, 0.0000, 0.0000) (multiplicity 1)  6 Zn 2.77, 6 Tc 2.79
Tc (0.3333, 0.6667, 0.6554) (multiplicity 2)  9 Tc 2.61-2.77, 3 Zn 2.79

Values from the calculation:
* uncorrected energy: -7.341 eV/atom
* crystal system: trigonal
* magnetization: 0.0 μB/f.u.

# 12
Here is a geometry-optimized Zn5Tc2 structure from the Alexandria database. Energies are from GGA-PBE.

Cell: 2.9245 2.9245 24.2352 Å, 90.00 90.00 90.00°
Closest atoms and distances in Å follow each position.
Space group I4/mmm (No. 139)
Asymmetric unit:
Zn (0.0000, 0.0000, 0.0000) (multiplicity 2)  12 Zn 2.71-2.92
Zn (0.0000, 0.0000, 0.1450) (multiplicity 4)  8 Zn 2.71-2.92, 4 Tc 2.73
Zn (0.0000, 0.0000, 0.4275) (multiplicity 4)  12 Zn 2.71-2.92
Tc (0.0000, 0.0000, 0.2814) (multiplicity 4)  4 Tc 2.57, 4 Zn 2.73

Values from the calculation:
* uncorrected energy: -3.856 eV/atom
* crystal system: tetragonal
* magnetization: 0.0 μB/f.u.

# 13
Here is a geometry-optimized ZnTc2 structure from the Alexandria database. Energies are from GGA-PBE.

Cell: 5.8755 5.8755 5.8755 Å, 90.00 90.00 90.00°
Closest atoms and distances in Å follow each position.
Space group Pa-3 (No. 205)
Asymmetric unit:
Zn (0.0000, 0.0000, 0.0000) (multiplicity 4)  6 Tc 2.47
Tc (0.1102, 0.6102, 0.8898) (multiplicity 8)  1 Tc 2.24, 3 Zn 2.47

Values from the calculation:
* uncorrected energy: -6.310 eV/atom
* crystal system: cubic
* magnetization: 0.0 μB/f.u.

# 14
Here is a geometry-optimized Zn8Tc structure from the Alexandria database. Energies are from GGA-PBE.

Cell: 8.3696 8.3696 3.7348 Å, 90.00 90.00 90.00°
Closest atoms and distances in Å follow each position.
Space group I4/mmm (No. 139)
Asymmetric unit:
Zn (0.0000, 0.3322, 0.0000) (multiplicity 8)  11 Zn 2.71-2.81, 1 Tc 2.78
Zn (0.1663, 0.1663, 0.5000) (multiplicity 8)  10 Zn 2.71-2.79, 2 Tc 2.71
Tc (0.0000, 0.0000, 0.0000) (multiplicity 2)  12 Zn 2.71-2.78

Values from the calculation:
* uncorrected energy: -2.236 eV/atom
* crystal system: tetragonal
* magnetization: 0.5 μB/f.u.

# 15
Here is a geometry-optimized Zn4Tc structure from the Alexandria database. Energies are from GGA-PBE.

Cell: 6.2129 6.2129 3.7556 Å, 90.00 90.00 90.00°
Closest atoms and distances in Å follow each position.
Space group I4/m (No. 87)
Asymmetric unit:
Zn (0.1034, 0.7049, 0.0000) (multiplicity 8)  9 Zn 2.68-2.85, 3 Tc 2.70-2.77
Tc (0.0000, 0.0000, 0.5000) (multiplicity 2)  12 Zn 2.70-2.77

Values from the calculation:
* uncorrected energy: -3.010 eV/atom
* crystal system: tetragonal
* magnetization: 0.0 μB/f.u.

# 16
Here is a geometry-optimized Zn3Tc5 structure from the Alexandria database. Energies are from GGA-PBE.

Cell: 10.8979 9.7935 4.8012 Å, 90.00 116.02 90.00°
Closest atoms and distances in Å follow each position.
Space group C2/c (No. 15)
Asymmetric unit:
Zn (0.0000, 0.0010, 0.2500) (multiplicity 4)  2 Zn 2.40
Zn (0.1775, 0.3225, 0.6752) (multiplicity 8)  10 Tc 2.54-2.74
Tc (0.0000, 0.4997, 0.2500) (multiplicity 4)  2 Tc 2.40
Tc (0.0695, 0.2418, 0.0668) (multiplicity 8)  6 Zn 2.54-2.74, 3 Tc 2.61-2.78
Tc (0.2418, 0.0695, 0.7439) (multiplicity 8)  6 Zn 2.54-2.74, 3 Tc 2.61-2.76

Values from the calculation:
* uncorrected energy: -6.834 eV/atom
* crystal system: monoclinic
* magnetization: 0.0 μB/f.u.

# 17
Here is a geometry-optimized ZnTc3 structure from the Alexandria database. Energies are from GGA-PBE.

Cell: 3.1203 8.6959 4.2433 Å, 90.00 90.00 90.00°
Closest atoms and distances in Å follow each position.
Space group Imm2 (No. 44)
Asymmetric unit:
Zn (0.0000, 0.0000, 0.0000) (multiplicity 2)  8 Tc 2.63-2.70
Tc (0.0000, 0.2464, 0.4962) (multiplicity 4)  6 Tc 2.63-2.65, 2 Zn 2.70
Tc (0.0000, 0.5000, 0.9998) (multiplicity 2)  4 Zn 2.63, 4 Tc 2.65

Values from the calculation:
* uncorrected energy: -7.983 eV/atom
* crystal system: orthorhombic
* magnetization: 0.0 μB/f.u.

# 18
Here is a geometry-optimized Zn4Tc structure from the Alexandria database. Energies are from GGA-PBE.

Cell: 5.8493 5.8493 5.8493 Å, 90.00 90.00 90.00°
Closest atoms and distances in Å follow each position.
Space group Im-3m (No. 229)
Asymmetric unit:
Zn (0.2500, 0.2500, 0.2500) (multiplicity 8)  2 Tc 2.53
Tc (0.0000, 0.0000, 0.0000) (multiplicity 2)  8 Zn 2.53

Values from the calculation:
* uncorrected energy: -2.733 eV/atom
* crystal system: cubic
* magnetization: 0.5 μB/f.u.

# 19
Here is a geometry-optimized ZnTc2 structure from the Alexandria database. Energies are from GGA-PBE.

Cell: 3.0799 3.0799 9.1007 Å, 90.00 90.00 90.00°
Closest atoms and distances in Å follow each position.
Space group I4/mmm (No. 139)
Asymmetric unit:
Zn (0.0000, 0.0000, 0.0000) (multiplicity 2)  10 Tc 2.69-2.97
Tc (0.0000, 0.0000, 0.3259) (multiplicity 4)  4 Tc 2.58, 4 Zn 2.69

Values from the calculation:
* uncorrected energy: -7.372 eV/atom
* crystal system: tetragonal
* magnetization: 0.0 μB/f.u.

# 20
Here is a geometry-optimized Zn3Tc structure from the Alexandria database. Energies are from GGA-PBE.

Cell: 2.7761 2.7761 8.7579 Å, 90.00 90.00 120.00°
Closest atoms and distances in Å follow each position.
Space group P-6m2 (No. 187)
Asymmetric unit:
Zn (0.0000, 0.0000, 0.0000) (multiplicity 1)  12 Zn 2.73-2.78
Zn (0.3333, 0.6667, 0.2523) (multiplicity 2)  3 Tc 2.70, 9 Zn 2.73-2.78
Tc (0.0000, 0.0000, 0.5000) (multiplicity 1)  6 Zn 2.70, 6 Tc 2.78

Values from the calculation:
* uncorrected energy: -3.482 eV/atom
* crystal system: hexagonal
* magnetization: 0.0 μB/f.u.

Record-wise calculated formation energy values, in meV per atom: 242; 872; 329; 90; 142; 161; 53; -20; 137; 2; -6; 15; 1025; 48; 82; 122; 110; 359; -37; 65